The following is a DFT calculation (PBE-GGA) of a relaxed structure of TmHfPS.

Cell: 3.6935 3.6958 6.9207 Å, 90.00 105.45 120.02°
Last column: nearest neighbours and their distance in Å.
Atoms (fractional coordinates):
P 0.1250 0.9605 0.1006  3 Hf 2.55, 3 Tm 2.67
Hf 0.3169 0.5564 0.8891  3 P 2.55, 3 S 2.71
Tm 0.9549 0.3755 0.3451  3 P 2.67, 3 S 2.86
S 0.4811 0.1385 0.6348  3 Hf 2.71, 3 Tm 2.86

Summary:
**DFT total energy**: -30.023 eV for the cell shown
**ρ**: 8.8 g/cm3
**Formation energy from raw total energies**: -1.52 eV per atom
**Volume**: 19.5 Å³/atom